Entry 1:
Sc7Au3 | PBE | relaxed

Geometry as POSCAR:
```
Sc7Au3
1.0
-4.8343 4.8343 4.8343
4.8343 -4.8343 4.8343
4.8343 4.8343 -4.8343
Au Sc
6 14
direct
0.3469 0.3469 0.0000
0.6531 0.6531 0.0000
0.3469 0.0000 0.3469
0.0000 0.3469 0.3469
0.6531 0.0000 0.6531
0.0000 0.6531 0.6531
0.3232 0.0000 0.0000
0.6768 0.0000 0.0000
0.0000 0.3232 0.0000
0.0000 0.6768 0.0000
0.7500 0.5000 0.2500
0.5000 0.7500 0.2500
0.0000 0.0000 0.3232
0.3232 0.3232 0.3232
0.7500 0.2500 0.5000
0.2500 0.7500 0.5000
0.0000 0.0000 0.6768
0.6768 0.6768 0.6768
0.5000 0.2500 0.7500
0.2500 0.5000 0.7500
```

Output
space-group type = Im-3m (229)
DFT formation energy = -0.398 eV/atom

Entry 2:
Sc7Au3 | PBE | relaxed

Geometry as POSCAR:
```
Sc7Au3
1.0
9.3377 0.0000 0.0000
-4.6688 8.0867 0.0000
0.0000 0.0000 5.9380
Au Sc
6 14
direct
0.3864 0.1932 0.3208
0.8068 0.1932 0.3208
0.8068 0.6136 0.3208
0.1932 0.3864 0.8208
0.1932 0.8068 0.8208
0.6136 0.8068 0.8208
0.5343 0.0687 0.0417
0.5343 0.4657 0.0417
0.9313 0.4657 0.0417
0.3333 0.6667 0.0969
0.1297 0.2595 0.2671
0.1297 0.8703 0.2671
0.7405 0.8703 0.2671
0.0687 0.5343 0.5417
0.4657 0.5343 0.5417
0.4657 0.9313 0.5417
0.6667 0.3333 0.5969
0.2595 0.1297 0.7671
0.8703 0.1297 0.7671
0.8703 0.7405 0.7671
```

Output
space-group type = P6_3mc (186)
DFT formation energy = -0.485 eV/atom

Entry 3:
Sc2AuSe3 | PBE | relaxed

Geometry as POSCAR:
```
Sc2AuSe3
1.0
7.5200 0.0000 0.0000
0.0000 3.7301 0.0000
0.0000 0.0000 17.6692
Au Sc Se
4 8 12
direct
0.0617 0.7500 0.1035
0.5617 0.7500 0.3965
0.4383 0.2500 0.6035
0.9383 0.2500 0.8965
0.2279 0.2500 0.0042
0.4697 0.2500 0.1967
0.9697 0.2500 0.3033
0.7279 0.2500 0.4958
0.2721 0.7500 0.5042
0.0303 0.7500 0.6967
0.5303 0.7500 0.8033
0.7721 0.7500 0.9958
0.4474 0.7500 0.0815
0.7988 0.2500 0.1027
0.1982 0.7500 0.2410
0.6982 0.7500 0.2590
0.2988 0.2500 0.3973
0.9474 0.7500 0.4185
0.0526 0.2500 0.5815
0.7012 0.7500 0.6027
0.3018 0.2500 0.7410
0.8018 0.2500 0.7590
0.2012 0.7500 0.8973
0.5526 0.2500 0.9185
```

Output
VASP energy = -0.20278 Ha/atom
space-group type = Pnma (62)

Entry 4:
ScSnTeAuSe2 | PBE | relaxed

Geometry as POSCAR:
```
ScSnTeAuSe2
1.0
1.9894 -7.0740 0.0000
1.9894 7.0740 0.0000
0.0000 0.0000 10.7409
Au Sc Se Sn Te
2 2 4 2 2
direct
0.9657 0.0343 0.2500
0.0343 0.9657 0.7500
0.5000 0.5000 0.0000
0.5000 0.5000 0.5000
0.8666 0.1334 0.0438
0.8666 0.1334 0.4562
0.1334 0.8666 0.5438
0.1334 0.8666 0.9562
0.3002 0.6998 0.2500
0.6998 0.3002 0.7500
0.6028 0.3972 0.2500
0.3972 0.6028 0.7500
```

Output
VASP energy = -0.17070 Ha/atom
space-group type = Cmcm (63)

Entry 5:
ScSiAu | PBE | relaxed

Geometry as POSCAR:
```
ScSiAu
1.0
-3.8381 4.8321 -2.9085
1.3805 -5.7582 -3.3878
-3.3045 -1.6981 1.5396
Au Sc Si
3 3 3
direct
0.6667 0.3333 0.0000
0.3333 0.6667 0.0000
0.0000 0.0000 0.5000
0.5919 0.0000 0.5000
0.4081 0.4081 0.5000
0.0000 0.5919 0.5000
0.2641 0.0000 0.0000
0.0000 0.2641 0.0000
0.7359 0.7359 0.0000
```

Output
VASP energy = -0.20613 Ha/atom
space-group type = P-62m (189)

Entry 6:
ScSiAu | PBE | relaxed

Geometry as POSCAR:
```
ScSiAu
1.0
-3.0440 -4.5183 -4.0229
1.0210 -2.9653 2.5579
-9.8729 1.6247 5.8242
Au Sc Si
6 6 6
direct
0.5112 0.7500 0.0936
0.1311 0.7500 0.2075
0.6562 0.7500 0.4576
0.3438 0.2500 0.5424
0.8689 0.2500 0.7925
0.4888 0.2500 0.9064
0.8440 0.2500 0.0814
0.4786 0.2500 0.2920
0.9739 0.2500 0.3791
0.0261 0.7500 0.6209
0.5215 0.7500 0.7080
0.1560 0.7500 0.9186
0.2473 0.2500 0.0841
0.7676 0.7500 0.2510
0.2547 0.7500 0.4169
0.7453 0.2500 0.5831
0.2324 0.2500 0.7490
0.7527 0.7500 0.9159
```

Output
VASP energy = -0.21165 Ha/atom
space-group type = P2_1/m (11)

Quick rundown of M_tot, same order as above: 1.439; 3.145; 0.000; 0.000; 0.000; 0.003 μB per formula unit